The following is a DFT calculation (GGA-PBE) of a relaxed TlAg23Pd6 crystal.

Properties
M_tot   0.0 μB/cell
Total energy   -3.291 eV per atom
Energy of formation from the pure elements   0.012 eV/atom

a = 10.059 Å, b = 10.059 Å, c = 10.059 Å
α = 132.19°, β = 132.19°, γ = 69.93°
Fractional coordinates of all 30 atoms:
Tl: 0.000 0.000 0.000
Ag: 0.000 0.000 0.500
Ag: 0.000 0.500 0.000
Ag: 0.000 0.500 0.500
Ag: 0.125 0.375 0.751
Ag: 0.127 0.871 0.256
Ag: 0.129 0.386 0.256
Ag: 0.129 0.873 0.744
Ag: 0.375 0.125 0.751
Ag: 0.375 0.624 0.249
Ag: 0.376 0.625 0.751
Ag: 0.386 0.129 0.256
Ag: 0.500 0.000 0.000
Ag: 0.500 0.000 0.500
Ag: 0.500 0.500 0.000
Ag: 0.500 0.500 0.500
Ag: 0.614 0.871 0.744
Ag: 0.624 0.375 0.249
Ag: 0.625 0.376 0.751
Ag: 0.625 0.875 0.249
Ag: 0.871 0.127 0.256
Ag: 0.871 0.614 0.744
Ag: 0.873 0.129 0.744
Ag: 0.875 0.625 0.249
Pd: 0.247 0.247 0.495
Pd: 0.247 0.753 0.000
Pd: 0.250 0.250 0.000
Pd: 0.750 0.750 0.000
Pd: 0.753 0.247 0.000
Pd: 0.753 0.753 0.505



The following is a DFT calculation (GGA-PBE) of a relaxed Tl2CdPb5 crystal.

Properties
M_tot   0.0 μB/cell
Total energy   -2.975 eV per atom
Energy of formation from the pure elements   0.049 eV/atom
Relative energy among the computed polymorphs   0.0294 eV per atom

a = 6.818 Å, b = 6.818 Å, c = 6.818 Å
α = 107.53°, β = 107.53°, γ = 113.42°
Fractional coordinates of all 8 atoms:
Tl: 0.000 0.500 0.500
Tl: 0.500 0.000 0.500
Cd: 0.000 0.000 0.000
Pb: 0.000 0.000 0.499
Pb: 0.000 0.500 0.000
Pb: 0.499 0.499 0.000
Pb: 0.500 0.000 0.000
Pb: 0.500 0.500 0.501



The following is a DFT calculation (GGA-PBE) of a relaxed ReAuC2 crystal.

Properties
M_tot   0.0 μB/cell
Total energy   -6.412 eV per atom
Energy of formation from the pure elements   2.132 eV/atom
Relative energy among the computed polymorphs   1.1668 eV per atom

a = 3.967 Å, b = 3.967 Å, c = 3.967 Å
α = 60.00°, β = 60.00°, γ = 60.00°
Fractional coordinates of all 4 atoms:
Re: 0.000 0.000 0.000
Au: 0.500 0.500 0.500
C: 0.250 0.250 0.250
C: 0.750 0.750 0.750